VASP calculation (PBE-GGA) on crystalline Sr2Zn2Ni at its relaxed geometry.

Cell: 3.7055 3.7055 9.7919 Å, 79.09 79.09 90.00°
Last column: nearest neighbours and their distance in Å.
Fractional coordinates of all 5 atoms:
Zn1 0.7500 0.2500 0.5000  4 Zn 2.62
Zn2 0.2500 0.7500 0.5000  4 Zn 2.62
Sr1 0.5940 0.5940 0.8120  4 Ni 3.16, 4 Zn 3.48
Sr2 0.4060 0.4060 0.1880  4 Ni 3.16, 4 Zn 3.48
Ni1 0.0000 0.0000 0.0000  8 Sr 3.16

Results
**Total DFT energy (no corrections)**: -11.4 eV per cell
**SG**: I4/mmm (139)
**Energy above the most stable polymorph in this dataset**: 1.181 eV per formula unit
**ΔH_f (0 K)**: 0.056 eV/atom
**Magnetic moment**: 0.000 μB/atom